Material: NbCrBi2O8
Method: DFT, PBE+U
State: relaxed

## Properties
Energy, eV per atom: -6.9486

a b c (Å): 5.032 6.539 5.041
angles (deg): 90.00 90.83 90.00
Space group P2/m (No. 10)
Unique sites:
Nb 0.000 0.000 0.000
Cr 0.000 0.500 0.000
Bi 0.500 0.255 0.500
O 0.176 0.245 0.826
O 0.256 0.500 0.260
O 0.288 0.000 0.290